[1]
The following is a PBE calculation of a relaxed CaTl2Mo crystal, from the Alexandria database.

Summary:
ΔE_f = 0.5905 eV/atom
excess energy over the best structure of this formula in the dataset = 250.2 meV per atom
space-group type = R3m

Cell: 10.464 10.464 10.464 Å, 18.31 18.31 18.31°
Site moments in Bohr magnetons follow the coordinates.
Sites, in units of the cell vectors:
Mo1 0.748 0.748 0.748  0.25
Ca1 0.493 0.493 0.493  0.00
Tl1 0.007 0.007 0.007  0.00
Tl2 0.252 0.252 0.252  0.00

[2]
The following is a PBE calculation of a relaxed La8TbNd2 crystal, from the Alexandria database.

Summary:
ΔE_f = 0.1183 eV/atom
excess energy over the best structure of this formula in the dataset = 104.9 meV per atom
space-group type = C2/m

Cell: 6.122 9.315 9.681 Å, 61.24 74.35 55.89°
Sites, in units of the cell vectors:
Tb1 0.500 0.000 0.000
La1 0.183 0.668 0.235
La2 0.183 0.904 0.765
La3 0.817 0.096 0.235
La4 0.817 0.332 0.765
La5 0.299 0.420 0.000
La6 0.701 0.580 0.000
La7 0.500 0.795 0.409
La8 0.500 0.205 0.591
Nd1 0.000 0.309 0.381
Nd2 0.000 0.691 0.619

Q: Number 1 is which compound?
A: CaTl2Mo

Q: Which of these has the lowest excess energy over the best structure of this formula in the dataset?
A: La8TbNd2

Q: excess energy over the best structure of this formula in the dataset of number 1 (CaTl2Mo)?
A: 250.2 meV per atom